Pr6InGa2 | GGA-PBE | optimized geometry

abc: 9.017 9.017 9.017
angles: 111.99 111.40 105.11
Sites, in units of the cell vectors:
Pr  0.039  0.241  0.798
Pr  0.183  0.280  0.463
Pr  0.183  0.720  0.903
Pr  0.323  0.030  0.707
Pr  0.323  0.615  0.293
Pr  0.443  0.241  0.202
Pr  0.557  0.759  0.798
Pr  0.677  0.385  0.707
Pr  0.677  0.970  0.293
Pr  0.817  0.280  0.097
Pr  0.817  0.720  0.537
Pr  0.961  0.759  0.202
In  0.000  0.000  0.000
In  0.500  0.500  0.000
Ga  0.120  0.620  0.500
Ga  0.357  0.000  0.357
Ga  0.643  0.000  0.643
Ga  0.880  0.380  0.500

crystal system: orthorhombic
energy above the most stable polymorph in this dataset: 0.0 meV/atom
space-group type: Immm, No. 71
energy of formation: -0.371 eV per atom
uncorrected energy: -4.534 eV/atom